[1]
The following is a DFT calculation (PBE) of a relaxed structure of Sn6PtRh.

It has space group C2/m (No. 12), with a = 6.286 Å, b = 11.106 Å, c = 6.315 Å, α = 90.00°, β = 117.74° and γ = 90.00°. Symmetry generates all atoms from Sn at (0.244, 0.199, 0.251), Sn at (0.249, 0.000, 0.754), Pt at (0.000, 0.500, 0.500) and Rh at (0.000, 0.000, 0.000).

The value obtained for the theoretical density is 8.6 g/cm³. For the total moment, the calculation gives 0.000 μB per cell.



[2]
The following is a DFT calculation (PBE) of a relaxed structure of SnPtRh3.

It has space group P-1 (No. 2), with a = 4.787 Å, b = 5.549 Å, c = 6.408 Å, α = 76.38°, β = 74.40° and γ = 75.65°. Symmetry generates all atoms from Sn at (0.110, 0.384, 0.284), Pt at (0.312, 0.194, 0.885), Rh at (0.095, 0.886, 0.304), Rh at (0.299, 0.706, 0.898), Rh at (0.500, 0.000, 0.500) and Rh at (0.500, 0.500, 0.500).

The relative energy among the computed polymorphs is 0.000 eV per atom. The value obtained for the theoretical density is 13.2 g/cm³. For the total moment, the calculation gives 0.000 μB per cell.



[3]
The following is a DFT calculation (PBE) of a relaxed structure of Sn2PtRh3.

It has space group Ibam (No. 72), with a = 7.977 Å, b = 10.439 Å, c = 5.548 Å, α = 90.00°, β = 90.00° and γ = 90.00°. Symmetry generates all atoms from Sn at (0.220, 0.142, 0.000), Pt at (0.000, 0.500, 0.000), Rh at (0.000, 0.000, 0.250) and Rh at (0.000, 0.277, 0.250).

The relative energy among the computed polymorphs is 0.223 eV per atom. The value obtained for the theoretical density is 10.7 g/cm³. For the total moment, the calculation gives 0.000 μB per cell.



[4]
The following is a DFT calculation (PBE) of a relaxed structure of SnPtRh4.

It has space group P4/mmm (No. 123), with a = 3.958 Å, b = 3.958 Å, c = 6.913 Å, α = 90.00°, β = 90.00° and γ = 90.00°. Symmetry generates all atoms from Sn at (0.000, 0.000, 0.000), Pt at (0.500, 0.500, 0.500) and Rh at (0.000, 0.500, 0.257).

The relative energy among the computed polymorphs is 0.260 eV per atom. The value obtained for the theoretical density is 11.1 g/cm³. For the total moment, the calculation gives 0.000 μB per cell.



[5]
The following is a DFT calculation (PBE) of a relaxed structure of Sn4PtRh7.

It has space group C2/m (No. 12), with a = 11.204 Å, b = 4.808 Å, c = 9.394 Å, α = 90.00°, β = 121.14° and γ = 90.00°. Symmetry generates all atoms from Sn at (0.084, 0.000, 0.272), Sn at (0.243, 0.000, 0.825), Pt at (0.000, 0.500, 0.500), Rh at (0.000, 0.000, 0.500), Rh at (0.078, 0.500, 0.829), Rh at (0.138, 0.000, 0.029) and Rh at (0.201, 0.500, 0.414).

The value obtained for the theoretical density is 10.7 g/cm³. For the total moment, the calculation gives 0.000 μB per cell.



[6]
The following is a DFT calculation (PBE) of a relaxed structure of Sn6PtRh2.

It has space group P-3m1 (No. 164), with a = 10.6784 Å, b = 10.6784 Å, c = 6.3190 Å, α = 90.00°, β = 90.00° and γ = 120.00°. Symmetry generates all atoms from Sn at (0.1082, 0.5541, 0.2004), Sn at (0.1107, 0.2214, 0.3133), Sn at (0.2157, 0.4314, 0.7204), Pt at (0.0000, 0.0000, 0.0000), Pt at (0.3333, 0.6667, 0.4772) and Rh at (0.0000, 0.3003, 0.0000).

The relative energy among the computed polymorphs is 0.000 eV per atom. The value obtained for the theoretical density is 8.9 g/cm³. For the total moment, the calculation gives 0.000 μB per cell.



In order of appearance, calculated volume = 195; 78; 115; 108; 217; 208 Å³/f.u..
In order of appearance, electronic total energy = -4.8029; -6.6313; -6.1842; -6.4040; -6.1654; -5.3164 eV per atom.
In order of appearance, DFT formation energy = -127; -212; -167; 171; -39; -343 meV per atom.